This record from Alexandria describes Re3GePd at its PBEsol-relaxed geometry. The functional is meta-GGA SCAN.

Values from the calculation:
As for the formation energy: 1931 meV per atom. The value obtained for the total energy is -51.100 eV/atom.

a b c (Å): 4.4521 4.4521 4.4521
angles (deg): 90.00 90.00 90.00
Fractional coordinates of all 5 atoms:
Re1 0.0000 0.0000 0.5000
Re2 0.0000 0.5000 0.0000
Re3 0.5000 0.0000 0.0000
Ge1 0.0000 0.0000 0.0000
Pd1 0.5000 0.5000 0.5000

***

This record from Alexandria describes KNbSi2O7 at its PBEsol-relaxed geometry. The functional is meta-GGA SCAN.

Values from the calculation:
The value obtained for the total energy is -12.458 eV/atom.

a b c (Å): 8.8290 8.8290 8.1231
angles (deg): 90.00 90.00 90.00
Fractional coordinates of all 44 atoms:
K1 0.1796 0.3204 0.0000
K2 0.3204 0.8204 0.0000
K3 0.6796 0.1796 0.0000
K4 0.8204 0.6796 0.0000
Nb1 0.0000 0.0000 0.2277
Nb2 0.0000 0.0000 0.7308
Nb3 0.5000 0.5000 0.2277
Nb4 0.5000 0.5000 0.7308
Si1 0.1230 0.6230 0.3084
Si2 0.1233 0.6233 0.7038
Si3 0.3770 0.1230 0.3084
Si4 0.3767 0.1233 0.7038
Si5 0.6230 0.8770 0.3084
Si6 0.6233 0.8767 0.7038
Si7 0.8770 0.3770 0.3084
Si8 0.8767 0.3767 0.7038
O1 0.0000 0.0000 0.0040
O2 0.0000 0.0000 0.5074
O3 0.0000 0.5000 0.2337
O4 0.0000 0.5000 0.7783
O5 0.0762 0.7886 0.7726
O6 0.0767 0.7879 0.2391
O7 0.1171 0.6171 0.5061
O8 0.2114 0.0762 0.7726
O9 0.2121 0.0767 0.2391
O10 0.2879 0.5767 0.2391
O11 0.2886 0.5762 0.7726
O12 0.3829 0.1171 0.5061
O13 0.4233 0.2879 0.2391
O14 0.4238 0.2886 0.7726
O15 0.5000 0.0000 0.2337
O16 0.5000 0.0000 0.7783
O17 0.5000 0.5000 0.0040
O18 0.5000 0.5000 0.5074
O19 0.5762 0.7114 0.7726
O20 0.5767 0.7121 0.2391
O21 0.6171 0.8829 0.5061
O22 0.7114 0.4238 0.7726
O23 0.7121 0.4233 0.2391
O24 0.7879 0.9233 0.2391
O25 0.7886 0.9238 0.7726
O26 0.8829 0.3829 0.5061
O27 0.9233 0.2121 0.2391
O28 0.9238 0.2114 0.7726

***

This record from Alexandria describes AgGeSeO2 at its PBEsol-relaxed geometry. The functional is meta-GGA SCAN.

Values from the calculation:
The value obtained for the total energy is -16.517 eV/atom.

a b c (Å): 3.7748 3.7748 5.2689
angles (deg): 90.00 90.00 90.00
Fractional coordinates of all 5 atoms:
Ag1 0.0000 0.0000 0.0000
Ge1 0.5000 0.5000 0.0000
Se1 0.5000 0.5000 0.5000
O1 0.0000 0.5000 0.5000
O2 0.5000 0.0000 0.5000

***

This record from Alexandria describes BaTlP at its PBEsol-relaxed geometry. The functional is meta-GGA SCAN.

Values from the calculation:
As for the formation energy: -743 meV per atom. The value obtained for the total energy is -41.512 eV/atom.

a b c (Å): 4.4374 4.4374 5.4513
angles (deg): 90.00 90.00 120.00
Fractional coordinates of all 3 atoms:
Ba1 0.0000 0.0000 0.0000
Tl1 0.6667 0.3333 0.4484
P1 0.3333 0.6667 0.6764

***

This record from Alexandria describes LiLaTe2 at its PBEsol-relaxed geometry. The functional is meta-GGA SCAN.

Values from the calculation:
The value obtained for the total energy is -31.419 eV/atom.

a b c (Å): 6.3105 6.3105 4.7284
angles (deg): 90.07 90.07 38.09
Fractional coordinates of all 4 atoms:
Li1 0.0000 0.0000 0.0000
La1 0.7688 0.7688 0.4959
Te1 0.2229 0.2229 0.9957
Te2 0.4813 0.4813 0.4960

***

This record from Alexandria describes LaY4Tc at its PBEsol-relaxed geometry. The functional is meta-GGA SCAN.

Values from the calculation:
As for the formation energy: 817 meV per atom. The value obtained for the total energy is -30.772 eV/atom.

a b c (Å): 6.1158 6.1158 6.1158
angles (deg): 60.00 60.00 60.00
Fractional coordinates of all 6 atoms:
La1 0.0000 0.0000 0.0000
Y1 0.3767 0.3767 0.3767
Y2 0.3767 0.3767 0.8699
Y3 0.3767 0.8699 0.3767
Y4 0.8699 0.3767 0.3767
Tc1 0.7500 0.7500 0.7500

***

This record from Alexandria describes LaY2Co at its PBEsol-relaxed geometry. The functional is meta-GGA SCAN.

Values from the calculation:
As for the formation energy: 34 meV per atom. As for the offset from the most stable computed form: 13.46 kJ per mole of atoms. The value obtained for the total energy is -28.989 eV/atom.

a b c (Å): 6.1437 6.1437 6.1437
angles (deg): 146.38 127.65 63.67
Fractional coordinates of all 4 atoms:
La1 0.0000 0.0000 0.0000
Y1 0.3107 0.8107 0.5000
Y2 0.6214 0.6214 0.0000
Co1 0.8157 0.3157 0.5000

***

This record from Alexandria describes Sc5Au4 at its PBEsol-relaxed geometry. The functional is meta-GGA SCAN.

Values from the calculation:
As for the formation energy: -942 meV per atom. The value obtained for the total energy is -39.588 eV/atom.

a b c (Å): 8.3529 8.3529 5.8288
angles (deg): 90.00 90.00 120.00
Fractional coordinates of all 18 atoms:
Sc1 0.0000 0.2870 0.2500
Sc2 0.0000 0.7130 0.7500
Sc3 0.2870 0.0000 0.2500
Sc4 0.2870 0.2870 0.7500
Sc5 0.3333 0.6667 0.0000
Sc6 0.3333 0.6667 0.5000
Sc7 0.6667 0.3333 0.0000
Sc8 0.6667 0.3333 0.5000
Sc9 0.7130 0.0000 0.7500
Sc10 0.7130 0.7130 0.2500
Au1 0.0000 0.0000 0.0000
Au2 0.0000 0.0000 0.5000
Au3 0.0000 0.3899 0.7500
Au4 0.0000 0.6101 0.2500
Au5 0.3899 0.0000 0.7500
Au6 0.3899 0.3899 0.2500
Au7 0.6101 0.0000 0.2500
Au8 0.6101 0.6101 0.7500

***

What did the sixth record say?
This record from Alexandria describes LaY4Tc at its PBEsol-relaxed geometry. The functional is meta-GGA SCAN.

Values from the calculation:
As for the formation energy: 817 meV per atom. The value obtained for the total energy is -30.772 eV/atom.

a b c (Å): 6.1158 6.1158 6.1158
angles (deg): 60.00 60.00 60.00
Fractional coordinates of all 6 atoms:
La1 0.0000 0.0000 0.0000
Y1 0.3767 0.3767 0.3767
Y2 0.3767 0.3767 0.8699
Y3 0.3767 0.8699 0.3767
Y4 0.8699 0.3767 0.3767
Tc1 0.7500 0.7500 0.7500

***

Repeat the eighth record exactly.
This record from Alexandria describes Sc5Au4 at its PBEsol-relaxed geometry. The functional is meta-GGA SCAN.

Values from the calculation:
As for the formation energy: -942 meV per atom. The value obtained for the total energy is -39.588 eV/atom.

a b c (Å): 8.3529 8.3529 5.8288
angles (deg): 90.00 90.00 120.00
Fractional coordinates of all 18 atoms:
Sc1 0.0000 0.2870 0.2500
Sc2 0.0000 0.7130 0.7500
Sc3 0.2870 0.0000 0.2500
Sc4 0.2870 0.2870 0.7500
Sc5 0.3333 0.6667 0.0000
Sc6 0.3333 0.6667 0.5000
Sc7 0.6667 0.3333 0.0000
Sc8 0.6667 0.3333 0.5000
Sc9 0.7130 0.0000 0.7500
Sc10 0.7130 0.7130 0.2500
Au1 0.0000 0.0000 0.0000
Au2 0.0000 0.0000 0.5000
Au3 0.0000 0.3899 0.7500
Au4 0.0000 0.6101 0.2500
Au5 0.3899 0.0000 0.7500
Au6 0.3899 0.3899 0.2500
Au7 0.6101 0.0000 0.2500
Au8 0.6101 0.6101 0.7500

***

What did the seventh record say?
This record from Alexandria describes LaY2Co at its PBEsol-relaxed geometry. The functional is meta-GGA SCAN.

Values from the calculation:
As for the formation energy: 34 meV per atom. As for the offset from the most stable computed form: 13.46 kJ per mole of atoms. The value obtained for the total energy is -28.989 eV/atom.

a b c (Å): 6.1437 6.1437 6.1437
angles (deg): 146.38 127.65 63.67
Fractional coordinates of all 4 atoms:
La1 0.0000 0.0000 0.0000
Y1 0.3107 0.8107 0.5000
Y2 0.6214 0.6214 0.0000
Co1 0.8157 0.3157 0.5000